# 1
# Hf2TaCo (GGA-PBE, optimized geometry)
# Space-group type ... Fm-3m (225)
# Formation energy ... 0.063 eV per atom
# E above lowest polymorph ... 219 meV per atom
data_Hf2TaCo
_space_group_name_H-M_alt 'P 1'
_space_group_IT_number 1
_cell_length_a 6.5737
_cell_length_b 6.5737
_cell_length_c 6.5737
_cell_angle_alpha 90.00
_cell_angle_beta 90.00
_cell_angle_gamma 90.00
loop_
_space_group_symop_operation_xyz
'x,y,z'
loop_
_atom_site_label
_atom_site_type_symbol
_atom_site_fract_x
_atom_site_fract_y
_atom_site_fract_z
_atom_site_occupancy
Hf1 Hf 0.2500 0.2500 0.2500 1
Hf2 Hf 0.2500 0.2500 0.7500 1
Hf3 Hf 0.2500 0.7500 0.2500 1
Hf4 Hf 0.2500 0.7500 0.7500 1
Hf5 Hf 0.7500 0.2500 0.2500 1
Hf6 Hf 0.7500 0.2500 0.7500 1
Hf7 Hf 0.7500 0.7500 0.2500 1
Hf8 Hf 0.7500 0.7500 0.7500 1
Ta1 Ta 0.0000 0.0000 0.0000 1
Ta2 Ta 0.0000 0.5000 0.5000 1
Ta3 Ta 0.5000 0.0000 0.5000 1
Ta4 Ta 0.5000 0.5000 0.0000 1
Co1 Co 0.0000 0.0000 0.5000 1
Co2 Co 0.0000 0.5000 0.0000 1
Co3 Co 0.5000 0.0000 0.0000 1
Co4 Co 0.5000 0.5000 0.5000 1

***

# 2
# K2Li14Pb3O14 (GGA-PBE, optimized geometry)
# Space-group type ... Immm (71)
# Formation energy from raw total energies ... -1.611 eV per atom
data_K2Li14Pb3O14
_space_group_name_H-M_alt 'P 1'
_space_group_IT_number 1
_cell_length_a 8.4914
_cell_length_b 8.4914
_cell_length_c 8.4914
_cell_angle_alpha 128.63
_cell_angle_beta 123.07
_cell_angle_gamma 80.22
loop_
_space_group_symop_operation_xyz
'x,y,z'
loop_
_atom_site_label
_atom_site_type_symbol
_atom_site_fract_x
_atom_site_fract_y
_atom_site_fract_z
_atom_site_occupancy
K1 K 0.0000 0.2476 0.2476 1
K2 K 0.0000 0.7524 0.7524 1
Li1 Li 0.0843 0.2298 0.8545 1
Li2 Li 0.2096 0.1379 0.6157 1
Li3 Li 0.2096 0.5939 0.0717 1
Li4 Li 0.3417 0.5000 0.8417 1
Li5 Li 0.3752 0.2298 0.1455 1
Li6 Li 0.4778 0.4061 0.6157 1
Li7 Li 0.4778 0.8621 0.0717 1
Li8 Li 0.5222 0.1379 0.9283 1
Li9 Li 0.5222 0.5939 0.3843 1
Li10 Li 0.6248 0.7702 0.8545 1
Li11 Li 0.6583 0.5000 0.1583 1
Li12 Li 0.7904 0.4061 0.9283 1
Li13 Li 0.7904 0.8621 0.3843 1
Li14 Li 0.9157 0.7702 0.1455 1
Pb1 Pb 0.2280 0.7280 0.5000 1
Pb2 Pb 0.5000 0.0000 0.5000 1
Pb3 Pb 0.7720 0.2720 0.5000 1
O1 O 0.0887 0.3725 0.7162 1
O2 O 0.1864 0.8729 0.3135 1
O3 O 0.2489 0.0410 0.7921 1
O4 O 0.2489 0.4568 0.2079 1
O5 O 0.3437 0.6275 0.7162 1
O6 O 0.4406 0.1271 0.3135 1
O7 O 0.5000 0.2957 0.7957 1
O8 O 0.5000 0.7043 0.2043 1
O9 O 0.5594 0.8729 0.6865 1
O10 O 0.6563 0.3725 0.2838 1
O11 O 0.7511 0.5432 0.7921 1
O12 O 0.7511 0.9590 0.2079 1
O13 O 0.8136 0.1271 0.6865 1
O14 O 0.9113 0.6275 0.2838 1

***

# 3
# LiTiNbMo2 (GGA-PBE, optimized geometry)
# Space-group type ... P4/mmm (123)
# Formation energy ... 0.982 eV per atom
# E above lowest polymorph ... 0 meV per atom
data_LiTiNbMo2
_space_group_name_H-M_alt 'P 1'
_space_group_IT_number 1
_cell_length_a 4.5302
_cell_length_b 4.5302
_cell_length_c 3.8181
_cell_angle_alpha 90.00
_cell_angle_beta 90.00
_cell_angle_gamma 90.00
loop_
_space_group_symop_operation_xyz
'x,y,z'
loop_
_atom_site_label
_atom_site_type_symbol
_atom_site_fract_x
_atom_site_fract_y
_atom_site_fract_z
_atom_site_occupancy
Li1 Li 0.0000 0.0000 0.0000 1
Ti1 Ti 0.0000 0.0000 0.5000 1
Nb1 Nb 0.5000 0.5000 0.5000 1
Mo1 Mo 0.0000 0.5000 0.0000 1
Mo2 Mo 0.5000 0.0000 0.0000 1

***

Number 1: N(E_F) 1.46 states/eV per atom, volume 17.75 Å³/atom, total energy -9.653 eV per atom. Number 2: N(E_F) 0.00 states/eV per atom, volume 11.73 Å³/atom, total energy -4.930 eV per atom. Number 3: N(E_F) 1.05 states/eV per atom, volume 15.67 Å³/atom, total energy -7.326 eV per atom.